Record 1
The following is a SCAN calculation of Y2Tl2Ag at its PBEsol-relaxed geometry, from the Alexandria database. Values from VASP.

Results
The total energy comes out at -46.813 eV per atom. The density of states at the Fermi level is 3.3 states/eV/f.u.

Structure (Quantum ESPRESSO input):
```
&SYSTEM
  ibrav = 0, nat = 10, ntyp = 3
/
ATOMIC_SPECIES
Y 88.91 Y.upf
Ag 107.87 Ag.upf
Tl 204.38 Tl.upf
CELL_PARAMETERS angstrom
-1.439 -0.025 -4.304
1.250 -7.304 -0.375
-6.925 -1.304 2.323
ATOMIC_POSITIONS crystal
Y 0.500 0.666 0.834
Y 0.500 0.834 0.334
Y 0.500 0.334 0.166
Y 0.500 0.166 0.666
Ag 0.000 0.000 0.000
Ag 0.000 0.500 0.500
Tl 0.000 0.359 0.859
Tl 0.000 0.141 0.359
Tl 0.000 0.859 0.641
Tl 0.000 0.641 0.141
```

Record 2
The following is a SCAN calculation of YTlAu2 at its PBEsol-relaxed geometry, from the Alexandria database. Values from VASP.

Results
The total energy comes out at -60.227 eV per atom. The density of states at the Fermi level is 2.4 states/eV/f.u.

Structure (Quantum ESPRESSO input):
```
&SYSTEM
  ibrav = 0, nat = 4, ntyp = 3
/
ATOMIC_SPECIES
Tl 204.38 Tl.upf
Y 88.91 Y.upf
Au 196.97 Au.upf
CELL_PARAMETERS angstrom
-3.796 1.270 -0.079
-0.147 -0.151 4.613
1.460 4.377 0.190
ATOMIC_POSITIONS crystal
Tl 0.500 0.500 0.500
Y 0.500 0.000 0.000
Au 0.000 0.000 0.500
Au 0.000 0.500 0.000
```

Record 3
The following is a SCAN calculation of CaH6C2N4O4 at its PBEsol-relaxed geometry, from the Alexandria database. Values from VASP.

Results
The total energy comes out at -7.546 eV per atom. The density of states at the Fermi level is 0.0 states/eV/f.u.

Structure (Quantum ESPRESSO input):
```
&SYSTEM
  ibrav = 0, nat = 68, ntyp = 5
/
ATOMIC_SPECIES
C 12.01 C.upf
H 1.01 H.upf
O 16.00 O.upf
N 14.01 N.upf
Ca 40.08 Ca.upf
CELL_PARAMETERS angstrom
-7.560 -2.117 -1.832
2.019 -0.474 8.864
-2.851 9.195 1.141
ATOMIC_POSITIONS crystal
C 0.929 0.615 0.752
C 0.539 0.806 0.228
C 0.461 0.694 0.728
C 0.929 0.115 0.748
C 0.071 0.385 0.248
C 0.539 0.306 0.272
C 0.071 0.885 0.252
C 0.461 0.194 0.772
H 0.147 0.998 0.558
H 0.853 0.002 0.442
H 0.444 0.460 0.745
H 0.655 0.938 0.528
H 0.556 0.040 0.245
H 0.350 0.932 0.005
H 0.129 0.112 0.326
H 0.184 0.389 0.613
H 0.871 0.888 0.674
H 0.650 0.568 0.505
H 0.345 0.062 0.472
H 0.184 0.889 0.887
H 0.147 0.498 0.942
H 0.853 0.502 0.058
H 0.871 0.388 0.826
H 0.345 0.562 0.028
H 0.650 0.068 0.995
H 0.350 0.432 0.495
H 0.556 0.540 0.255
H 0.816 0.611 0.387
H 0.129 0.612 0.174
H 0.444 0.960 0.755
H 0.655 0.438 0.972
H 0.816 0.111 0.113
O 0.060 0.244 0.220
O 0.940 0.256 0.720
O 0.060 0.744 0.280
O 0.457 0.267 0.157
O 0.543 0.233 0.657
O 0.412 0.787 0.656
O 0.457 0.767 0.343
O 0.940 0.756 0.780
O 0.032 0.427 0.366
O 0.968 0.573 0.634
O 0.412 0.287 0.844
O 0.588 0.713 0.156
O 0.543 0.733 0.843
O 0.968 0.073 0.866
O 0.032 0.927 0.134
O 0.588 0.213 0.344
N 0.300 0.979 0.927
N 0.878 0.000 0.646
N 0.210 0.978 0.472
N 0.430 0.544 0.678
N 0.430 0.044 0.822
N 0.878 0.500 0.854
N 0.790 0.022 0.528
N 0.210 0.478 0.028
N 0.790 0.522 0.972
N 0.570 0.956 0.178
N 0.300 0.479 0.573
N 0.700 0.521 0.427
N 0.570 0.456 0.322
N 0.122 0.500 0.146
N 0.700 0.021 0.073
N 0.122 0.000 0.354
Ca 0.793 0.810 0.974
Ca 0.207 0.190 0.026
Ca 0.793 0.310 0.526
Ca 0.207 0.690 0.474
```

Record 4
The following is a SCAN calculation of ZrReRu2 at its PBEsol-relaxed geometry, from the Alexandria database. Values from VASP.

Results
As for the offset from the most stable computed form: 70.5 meV/atom. The density of states at the Fermi level is 3.9 states/eV/f.u.

Structure (Quantum ESPRESSO input):
```
&SYSTEM
  ibrav = 0, nat = 4, ntyp = 3
/
ATOMIC_SPECIES
Ru 101.07 Ru.upf
Zr 91.22 Zr.upf
Re 186.21 Re.upf
CELL_PARAMETERS angstrom
-0.011 -2.523 1.769
0.805 -2.584 -3.680
3.948 2.988 1.602
ATOMIC_POSITIONS crystal
Ru 0.268 0.268 0.535
Ru 0.732 0.732 0.465
Zr 0.500 0.000 0.000
Re 0.000 0.500 0.000
```

Record 5
The following is a SCAN calculation of ZrTc2Ru at its PBEsol-relaxed geometry, from the Alexandria database. Values from VASP.

Results
As for the offset from the most stable computed form: 32.6 meV/atom. The density of states at the Fermi level is 4.4 states/eV/f.u.

Structure (Quantum ESPRESSO input):
```
&SYSTEM
  ibrav = 0, nat = 4, ntyp = 3
/
ATOMIC_SPECIES
Zr 91.22 Zr.upf
Tc 98.00 Tc.upf
Ru 101.07 Ru.upf
CELL_PARAMETERS angstrom
-0.026 2.842 1.216
-2.683 -1.453 3.340
4.891 -1.692 0.129
ATOMIC_POSITIONS crystal
Zr 0.497 0.497 0.994
Tc 0.006 0.006 0.013
Tc 0.742 0.242 0.484
Ru 0.254 0.754 0.508
```

Record 6
The following is a SCAN calculation of RbBaMn2Be at its PBEsol-relaxed geometry, from the Alexandria database. Values from VASP.

Results
The total energy comes out at -19.593 eV per atom. The density of states at the Fermi level is 5.0 states/eV/f.u.

Structure (Quantum ESPRESSO input):
```
&SYSTEM
  ibrav = 0, nat = 5, ntyp = 4
/
ATOMIC_SPECIES
Ba 137.33 Ba.upf
Mn 54.94 Mn.upf
Rb 85.47 Rb.upf
Be 9.01 Be.upf
CELL_PARAMETERS angstrom
-3.434 1.672 -2.930
-2.981 -3.460 1.520
-1.879 3.451 4.172
ATOMIC_POSITIONS crystal
Ba 0.000 0.000 0.500
Mn 0.000 0.500 0.000
Mn 0.500 0.000 0.000
Rb 0.500 0.500 0.500
Be 0.000 0.000 0.000
```

Record 7
The following is a SCAN calculation of Ta2InW at its PBEsol-relaxed geometry, from the Alexandria database. Values from VASP.

Results
The total energy comes out at -58.715 eV per atom. The density of states at the Fermi level is 4.5 states/eV/f.u.

Structure (Quantum ESPRESSO input):
```
&SYSTEM
  ibrav = 0, nat = 4, ntyp = 3
/
ATOMIC_SPECIES
In 114.82 In.upf
W 183.84 W.upf
Ta 180.95 Ta.upf
CELL_PARAMETERS angstrom
-1.707 -3.845 1.944
2.437 -2.232 3.248
-1.415 0.066 4.412
ATOMIC_POSITIONS crystal
In 0.500 0.500 0.500
W 0.250 0.250 0.250
Ta 0.000 0.000 0.000
Ta 0.750 0.750 0.750
```

Record 8
The following is a SCAN calculation of CoAs2Rh at its PBEsol-relaxed geometry, from the Alexandria database. Values from VASP.

Results
As for the offset from the most stable computed form: 62.7 meV/atom. The density of states at the Fermi level is 2.2 states/eV/f.u.

Structure (Quantum ESPRESSO input):
```
&SYSTEM
  ibrav = 0, nat = 4, ntyp = 3
/
ATOMIC_SPECIES
As 74.92 As.upf
Rh 102.91 Rh.upf
Co 58.93 Co.upf
CELL_PARAMETERS angstrom
4.277 0.000 0.000
2.138 3.704 0.000
2.138 1.235 3.492
ATOMIC_POSITIONS crystal
As 0.250 0.250 0.250
As 0.750 0.750 0.750
Rh 0.500 0.500 0.500
Co 0.000 0.000 0.000
```

Record 9
The following is a SCAN calculation of Mn2CuRe at its PBEsol-relaxed geometry, from the Alexandria database. Values from VASP.

Results
The total energy comes out at -30.511 eV per atom. The density of states at the Fermi level is 2.9 states/eV/f.u.

Structure (Quantum ESPRESSO input):
```
&SYSTEM
  ibrav = 0, nat = 4, ntyp = 3
/
ATOMIC_SPECIES
Mn 54.94 Mn.upf
Cu 63.55 Cu.upf
Re 186.21 Re.upf
CELL_PARAMETERS angstrom
-0.292 -2.166 1.403
0.865 -2.269 -0.920
7.564 -0.133 3.772
ATOMIC_POSITIONS crystal
Mn 0.251 0.251 0.248
Mn 0.749 0.749 0.752
Cu 0.000 0.000 0.000
Re 0.500 0.500 0.500
```

Record 10
The following is a SCAN calculation of CaY2Pt2 at its PBEsol-relaxed geometry, from the Alexandria database. Values from VASP.

Results
As for the offset from the most stable computed form: 0.0 meV/atom. The density of states at the Fermi level is 3.5 states/eV/f.u.

Structure (Quantum ESPRESSO input):
```
&SYSTEM
  ibrav = 0, nat = 10, ntyp = 3
/
ATOMIC_SPECIES
Y 88.91 Y.upf
Pt 195.08 Pt.upf
Ca 40.08 Ca.upf
CELL_PARAMETERS angstrom
-3.065 1.378 -1.786
-4.112 -6.204 2.268
-2.090 3.756 6.486
ATOMIC_POSITIONS crystal
Y 0.500 0.157 0.657
Y 0.500 0.843 0.343
Y 0.500 0.343 0.157
Y 0.500 0.657 0.843
Pt 0.000 0.637 0.137
Pt 0.000 0.137 0.363
Pt 0.000 0.363 0.863
Pt 0.000 0.863 0.637
Ca 0.000 0.500 0.500
Ca 0.000 0.000 0.000
```

Record 11
The following is a SCAN calculation of Ba3TlBr at its PBEsol-relaxed geometry, from the Alexandria database. Values from VASP.

Results
The uncorrected formation energy is -0.568 eV/atom. The density of states at the Fermi level is 4.1 states/eV/f.u.

Structure (Quantum ESPRESSO input):
```
&SYSTEM
  ibrav = 0, nat = 5, ntyp = 3
/
ATOMIC_SPECIES
Ba 137.33 Ba.upf
Tl 204.38 Tl.upf
Br 79.90 Br.upf
CELL_PARAMETERS angstrom
6.607 0.000 0.000
0.000 6.607 0.000
0.000 0.000 6.607
ATOMIC_POSITIONS crystal
Ba 0.000 0.000 0.500
Ba 0.500 0.000 0.000
Ba 0.000 0.500 0.000
Tl 0.000 0.000 0.000
Br 0.500 0.500 0.500
```

Record 12
The following is a SCAN calculation of ZrFe2Si2 at its PBEsol-relaxed geometry, from the Alexandria database. Values from VASP.

Results
The uncorrected formation energy is -0.584 eV/atom. The density of states at the Fermi level is 3.2 states/eV/f.u.

Structure (Quantum ESPRESSO input):
```
&SYSTEM
  ibrav = 0, nat = 5, ntyp = 3
/
ATOMIC_SPECIES
Zr 91.22 Zr.upf
Fe 55.84 Fe.upf
Si 28.09 Si.upf
CELL_PARAMETERS angstrom
3.800 0.000 0.000
0.000 3.800 0.000
-1.900 -1.900 4.629
ATOMIC_POSITIONS crystal
Zr 0.000 0.000 0.000
Fe 0.750 0.250 0.500
Fe 0.250 0.750 0.500
Si 0.628 0.628 0.256
Si 0.372 0.372 0.744
```